1.
# K3Ce2PmTe6

A relaxed K3Ce2PmTe6 crystal (PBE, Alexandria via LeMat-Bulk).

Cell and atoms, written as extended XYZ:
```
12
Lattice="-5.8530 -3.5877 -4.1771 3.5339 -3.8629 6.0964 -4.8157 5.5602 4.5491" Properties=species:S:1:pos:R:3 pbc="T T T"
K -0.4406 -1.0369 6.6563
K -6.6942 -0.8535 -0.1879
K -3.5674 -0.9452 3.2342
Ce 0.4045 -3.7712 2.6715
Ce -2.7236 -3.6794 -0.7521
Pm 0.0000 0.0000 0.0000
Te -7.1105 -1.2690 3.3406
Te -2.7464 -4.3258 2.3935
Te -0.0243 -0.6214 3.1278
Te -4.0021 -1.3602 6.7426
Te -4.3883 2.4354 4.0749
Te -3.1327 -0.5303 -0.2741
```

Calculated values
The value obtained for the density of states at the Fermi level is 12.8 states/eV/f.u.

2.
# K4Ce3PmTe8

A relaxed K4Ce3PmTe8 crystal (PBE, Alexandria via LeMat-Bulk).

Cell and atoms, written as extended XYZ:
```
16
Lattice="9.2903 0.0000 0.0000 0.0000 9.8120 0.3593 -4.6452 -4.6403 6.5723" Properties=species:S:1:pos:R:3 pbc="T T T"
K 4.6452 0.0000 0.0000
K 2.3226 -2.3201 3.2862
K 0.0000 0.0000 0.0000
K -2.3226 -2.3201 3.2862
Ce 4.6452 4.9060 0.1796
Ce 2.3226 2.5859 3.4658
Ce -2.3226 2.5859 3.4658
Pm 0.0000 4.9060 0.1796
Te -2.3381 2.4688 6.6765
Te 0.0000 4.8046 3.3685
Te 0.0000 0.3736 3.5455
Te 2.3381 2.4688 6.6765
Te 2.3071 2.7029 0.2550
Te 4.6452 4.7981 3.3860
Te 4.6452 0.3671 3.5631
Te 6.9832 2.7029 0.2550
```

Calculated values
The value obtained for the density of states at the Fermi level is 19.7 states/eV/f.u.

3.
# KCe3Pm2Te6

A relaxed KCe3Pm2Te6 crystal (PBE, Alexandria via LeMat-Bulk).

Cell and atoms, written as extended XYZ:
```
12
Lattice="-0.6083 -4.1041 1.7323 4.9200 -3.6221 -6.8536 7.1024 3.9821 6.0933" Properties=species:S:1:pos:R:3 pbc="T T T"
K -0.3041 -2.0521 0.8662
Ce 2.1558 -3.8631 -2.5606
Ce 5.1058 -1.3682 4.3859
Ce 6.3083 -2.3759 -3.4138
Pm 7.4105 -3.1613 0.9470
Pm 4.0035 -0.5828 0.0251
Te 8.9463 -2.0288 -1.6652
Te 4.8199 -3.5275 -0.8303
Te 2.4677 -1.7153 2.6373
Te 1.3426 -0.9367 -1.7477
Te 10.0714 -2.8074 2.7198
Te 6.5942 -0.2166 1.8024
```

Calculated values
The value obtained for the density of states at the Fermi level is 23.6 states/eV/f.u.

4.
# K3CePr3S8

A relaxed K3CePr3S8 crystal (PBE, Alexandria via LeMat-Bulk).

Cell and atoms, written as extended XYZ:
```
15
Lattice="8.3965 -0.0003 0.0005 -4.1985 7.2723 -0.0282 0.0006 -4.8217 7.4885" Properties=species:S:1:pos:R:3 pbc="T T T"
K 0.0000 0.0000 0.0000
K -2.0993 3.6362 -0.0141
K 2.0990 3.6360 -0.0138
Ce 0.0003 -2.4108 3.7443
Pr 4.1985 -2.4110 3.7445
Pr 2.0993 1.2252 3.7304
Pr -2.0989 1.2253 3.7302
S 0.0000 2.4315 2.1729
S 4.1986 0.0188 5.2879
S 4.1982 2.5293 2.2497
S 0.0003 -0.0790 5.2112
S 6.3822 -1.2536 2.2643
S -2.1836 3.7039 5.1965
S 2.0146 -1.2535 2.2641
S 2.1840 3.7038 5.1968
```

5.
# KCe2PrSe4

A relaxed KCe2PrSe4 crystal (PBE, Alexandria via LeMat-Bulk).

Cell and atoms, written as extended XYZ:
```
8
Lattice="4.2655 0.0000 0.0000 0.0000 7.5103 -0.1874 0.0000 2.6045 7.0310" Properties=species:S:1:pos:R:3 pbc="T T T"
K 2.1328 3.7552 -0.0937
Ce 0.0000 2.6045 7.0310
Ce 2.1328 1.3022 3.5155
Pr 0.0000 5.0574 3.4218
Se 0.0001 7.6693 5.0297
Se 4.2655 2.4455 1.8139
Se 2.1328 6.3489 1.6374
Se 2.1328 3.7659 5.2062
```

Calculated values
The value obtained for the density of states at the Fermi level is 14.5 states/eV/f.u.

6.
# KCe3Pr2Se6

A relaxed KCe3Pr2Se6 crystal (PBE, Alexandria via LeMat-Bulk).

Cell and atoms, written as extended XYZ:
```
12
Lattice="-3.5727 1.7398 1.4991 -2.3686 -7.6601 3.2450 6.6317 3.0652 6.2315" Properties=species:S:1:pos:R:3 pbc="T T T"
K -1.7864 0.8699 0.7495
Ce -2.9706 -2.9602 2.3720
Ce 1.0593 2.2072 5.9795
Ce -0.3689 -5.0624 4.9961
Pr -0.1527 -1.5798 7.4860
Pr 0.8432 -1.2753 3.4896
Se 1.0140 -4.4322 7.5605
Se -1.5881 -2.3346 4.9411
Se -0.3236 1.5771 3.4151
Se -0.6164 -2.0218 0.8774
Se 1.3068 -0.8334 10.0983
Se 2.2785 -0.5205 6.0345
```

Calculated values
The value obtained for the density of states at the Fermi level is 20.9 states/eV/f.u.

no.,DFT total energy (eV per atom),formation energy (no corrections) (eV per formula unit)
1,-4.5997,-16.44
2,-4.6183,-21.82
3,-5.2908,-16.24
4,-5.5991,-27.40
5,-5.6814,-13.77
6,-5.8750,-21.13